(1)
Below is LiTa2Cd after structural relaxation, with properties calculated at the PBE-GGA level.

Properties
calculated volume	18.37	Å³/atom
total DFT energy (no corrections)	-6.053	eV per atom
total magnetic moment	1.2	Bohr magnetons per cell

a = 4.701 Å, b = 4.701 Å, c = 4.701 Å
α = 60.00°, β = 60.00°, γ = 60.00°
Sites, in units of the cell vectors:
1 Ta 0.000 0.000 0.000
2 Ta 0.250 0.250 0.250
3 Li 0.750 0.750 0.750
4 Cd 0.500 0.500 0.500

---

(2)
Below is LiTa2Cd after structural relaxation, with properties calculated at the PBE-GGA level.

Properties
calculated volume	18.18	Å³/atom
total DFT energy (no corrections)	-6.326	eV per atom
total magnetic moment	0.0	Bohr magnetons per cell

a = 5.801 Å, b = 5.801 Å, c = 2.834 Å
α = 80.40°, β = 80.40°, γ = 125.12°
Sites, in units of the cell vectors:
1 Ta 0.500 0.500 0.000
2 Cd 0.500 0.000 0.500
3 Li 0.000 0.500 0.500
4 Ta 0.000 0.000 0.000

---

(3)
Below is LiTaCd3 after structural relaxation, with properties calculated at the PBE-GGA level.

Properties
calculated volume	18.95	Å³/atom
energy above the most stable polymorph in this dataset	0	meV per atom
total magnetic moment	0.0	Bohr magnetons per cell

a = 4.559 Å, b = 4.559 Å, c = 4.559 Å
α = 90.00°, β = 90.00°, γ = 90.00°
Sites, in units of the cell vectors:
1 Cd 0.000 0.500 0.000
2 Ta 0.500 0.500 0.500
3 Cd 0.000 0.000 0.500
4 Cd 0.500 0.000 0.000
5 Li 0.000 0.000 0.000

---

(4)
Below is LiTaCd2 after structural relaxation, with properties calculated at the PBE-GGA level.

Properties
calculated volume	19.15	Å³/atom
energy above the most stable polymorph in this dataset	230	meV per atom
total magnetic moment	0.0	Bohr magnetons per cell

a = 2.847 Å, b = 4.459 Å, c = 6.034 Å
α = 90.00°, β = 90.00°, γ = 90.00°
Sites, in units of the cell vectors:
1 Ta 0.500 0.500 0.755
2 Cd 0.000 0.000 0.982
3 Li 0.000 0.000 0.491
4 Cd 0.500 0.500 0.272

---

(5)
Below is LiTaCd4 after structural relaxation, with properties calculated at the PBE-GGA level.

Properties
calculated volume	20.98	Å³/atom
total DFT energy (no corrections)	-2.458	eV per atom
total magnetic moment	0.8	Bohr magnetons per cell

a = 5.625 Å, b = 5.625 Å, c = 5.625 Å
α = 60.00°, β = 60.00°, γ = 60.00°
Sites, in units of the cell vectors:
1 Cd 0.877 0.374 0.374
2 Cd 0.374 0.374 0.374
3 Li 0.750 0.750 0.750
4 Cd 0.374 0.877 0.374
5 Ta 0.000 0.000 0.000
6 Cd 0.374 0.374 0.877

---

(6)
Below is LiTa2Cd after structural relaxation, with properties calculated at the PBE-GGA level.

Properties
calculated volume	18.68	Å³/atom
total DFT energy (no corrections)	-6.257	eV per atom
total magnetic moment	0.0	Bohr magnetons per cell

a = 10.671 Å, b = 10.671 Å, c = 10.671 Å
α = 15.41°, β = 15.41°, γ = 15.41°
Sites, in units of the cell vectors:
1 Li 0.750 0.750 0.750
2 Ta 0.499 0.499 0.499
3 Cd 0.250 0.250 0.250
4 Ta 0.001 0.001 0.001

---

(7)
Below is Li2TaCd after structural relaxation, with properties calculated at the PBE-GGA level.

Properties
calculated volume	17.18	Å³/atom
total DFT energy (no corrections)	-3.778	eV per atom
total magnetic moment	0.0	Bohr magnetons per cell

a = 5.776 Å, b = 5.776 Å, c = 5.776 Å
α = 152.19°, β = 129.67°, γ = 58.47°
Sites, in units of the cell vectors:
1 Li 0.003 0.003 0.000
2 Li 0.772 0.272 0.500
3 Cd 0.230 0.730 0.500
4 Ta 0.495 0.495 0.000

---

(8)
Below is LiTaCd after structural relaxation, with properties calculated at the PBE-GGA level.

Properties
calculated volume	18.87	Å³/atom
energy above the most stable polymorph in this dataset	136	meV per atom
total magnetic moment	0.0	Bohr magnetons per cell

a = 5.980 Å, b = 2.842 Å, c = 7.088 Å
α = 100.60°, β = 78.17°, γ = 104.06°
Sites, in units of the cell vectors:
1 Ta 0.935 0.769 0.866
2 Cd 0.411 0.446 0.856
3 Li 0.130 0.715 0.212
4 Li 0.297 0.661 0.526
5 Ta 0.808 0.057 0.571
6 Cd 0.639 0.276 0.219

---

(9)
Below is LiTaCd after structural relaxation, with properties calculated at the PBE-GGA level.

Properties
calculated volume	22.30	Å³/atom
energy above the most stable polymorph in this dataset	1580	meV per atom
total magnetic moment	0.0	Bohr magnetons per cell

a = 3.720 Å, b = 3.720 Å, c = 11.169 Å
α = 90.00°, β = 90.00°, γ = 120.00°
Sites, in units of the cell vectors:
1 Cd 0.000 0.000 0.750
2 Li 0.333 0.667 0.250
3 Cd 0.000 0.000 0.250
4 Ta 0.000 0.000 0.500
5 Li 0.667 0.333 0.750
6 Ta 0.000 0.000 0.000

---

(10)
Below is LiTaCd after structural relaxation, with properties calculated at the PBE-GGA level.

Properties
calculated volume	17.57	Å³/atom
energy above the most stable polymorph in this dataset	194	meV per atom
total magnetic moment	0.0	Bohr magnetons per cell

a = 6.595 Å, b = 6.595 Å, c = 6.595 Å
α = 154.60°, β = 154.60°, γ = 36.23°
Sites, in units of the cell vectors:
1 Cd 0.991 0.991 0.000
2 Li 0.338 0.338 0.000
3 Ta 0.672 0.672 0.000

---

(11)
Below is LiTa2Cd after structural relaxation, with properties calculated at the PBE-GGA level.

Properties
calculated volume	18.16	Å³/atom
total DFT energy (no corrections)	-6.348	eV per atom
total magnetic moment	0.0	Bohr magnetons per cell

a = 4.549 Å, b = 2.687 Å, c = 6.128 Å
α = 75.80°, β = 90.00°, γ = 90.00°
Sites, in units of the cell vectors:
1 Ta 0.000 0.916 0.003
2 Li 0.500 0.712 0.743
3 Cd 0.000 0.597 0.520
4 Ta 0.500 0.276 0.235

---

(12)
Below is Li2TaCd after structural relaxation, with properties calculated at the PBE-GGA level.

Properties
calculated volume	18.27	Å³/atom
total DFT energy (no corrections)	-4.030	eV per atom
total magnetic moment	0.0	Bohr magnetons per cell

a = 10.318 Å, b = 10.318 Å, c = 10.318 Å
α = 16.04°, β = 16.04°, γ = 16.04°
Sites, in units of the cell vectors:
1 Li 0.501 0.501 0.501
2 Cd 0.750 0.750 0.750
3 Li 0.999 0.999 0.999
4 Ta 0.250 0.250 0.250

---

(13)
Below is LiTaCd2 after structural relaxation, with properties calculated at the PBE-GGA level.

Properties
calculated volume	19.44	Å³/atom
energy above the most stable polymorph in this dataset	261	meV per atom
total magnetic moment	0.0	Bohr magnetons per cell

a = 4.941 Å, b = 4.941 Å, c = 5.954 Å
α = 84.63°, β = 84.63°, γ = 32.52°
Sites, in units of the cell vectors:
1 Ta 0.250 0.250 0.250
2 Cd 0.999 0.999 0.990
3 Cd 0.501 0.501 0.510
4 Li 0.750 0.750 0.750

---

(14)
Below is LiTa2Cd after structural relaxation, with properties calculated at the PBE-GGA level.

Properties
calculated volume	17.81	Å³/atom
total DFT energy (no corrections)	-6.220	eV per atom
total magnetic moment	0.0	Bohr magnetons per cell

a = 5.531 Å, b = 5.531 Å, c = 5.531 Å
α = 148.40°, β = 125.72°, γ = 64.18°
Sites, in units of the cell vectors:
1 Ta 0.997 0.997 0.000
2 Ta 0.244 0.744 0.500
3 Cd 0.519 0.519 0.000
4 Li 0.741 0.241 0.500

---

(15)
Below is Li2TaCd after structural relaxation, with properties calculated at the PBE-GGA level.

Properties
calculated volume	18.24	Å³/atom
total DFT energy (no corrections)	-3.798	eV per atom
total magnetic moment	0.0	Bohr magnetons per cell

a = 5.085 Å, b = 5.085 Å, c = 5.545 Å
α = 84.56°, β = 84.56°, γ = 30.75°
Sites, in units of the cell vectors:
1 Li 0.006 0.006 0.009
2 Li 0.250 0.250 0.237
3 Cd 0.749 0.749 0.746
4 Ta 0.495 0.495 0.508

---

(16)
Below is LiTa2Cd after structural relaxation, with properties calculated at the PBE-GGA level.

Properties
calculated volume	17.78	Å³/atom
total DFT energy (no corrections)	-6.277	eV per atom
total magnetic moment	0.0	Bohr magnetons per cell

a = 5.531 Å, b = 5.531 Å, c = 5.531 Å
α = 139.35°, β = 139.35°, γ = 58.84°
Sites, in units of the cell vectors:
1 Ta 0.000 0.000 0.000
2 Cd 0.250 0.750 0.500
3 Ta 0.500 0.500 0.000
4 Li 0.750 0.250 0.500

---

(17)
Below is Li2TaCd after structural relaxation, with properties calculated at the PBE-GGA level.

Properties
calculated volume	17.75	Å³/atom
total DFT energy (no corrections)	-3.868	eV per atom
total magnetic moment	0.0	Bohr magnetons per cell

a = 4.491 Å, b = 2.708 Å, c = 5.991 Å
α = 77.05°, β = 90.00°, γ = 90.00°
Sites, in units of the cell vectors:
1 Li 0.500 0.071 0.236
2 Cd 0.500 0.810 0.757
3 Li 0.000 0.181 0.007
4 Ta 0.000 0.438 0.501

---

(18)
Below is LiTaCd after structural relaxation, with properties calculated at the PBE-GGA level.

Properties
calculated volume	17.79	Å³/atom
energy above the most stable polymorph in this dataset	24	meV per atom
total magnetic moment	0.0	Bohr magnetons per cell

a = 3.192 Å, b = 4.483 Å, c = 7.782 Å
α = 106.56°, β = 90.00°, γ = 90.00°
Sites, in units of the cell vectors:
1 Li 0.139 0.574 0.271
2 Cd 0.639 0.072 0.267
3 Cd 0.639 0.410 0.950
4 Li 0.139 0.909 0.947
5 Ta 0.139 0.241 0.609
6 Ta 0.639 0.741 0.609

---

(19)
Below is LiTaCd after structural relaxation, with properties calculated at the PBE-GGA level.

Properties
calculated volume	18.61	Å³/atom
energy above the most stable polymorph in this dataset	140	meV per atom
total magnetic moment	0.0	Bohr magnetons per cell

a = 2.889 Å, b = 2.889 Å, c = 7.727 Å
α = 90.00°, β = 90.00°, γ = 120.00°
Sites, in units of the cell vectors:
1 Cd 0.000 0.000 0.008
2 Ta 0.333 0.667 0.662
3 Li 0.667 0.333 0.330

---

(20)
Below is LiTaCd after structural relaxation, with properties calculated at the PBE-GGA level.

Properties
calculated volume	19.29	Å³/atom
energy above the most stable polymorph in this dataset	532	meV per atom
total magnetic moment	0.0	Bohr magnetons per cell

a = 4.932 Å, b = 4.932 Å, c = 2.747 Å
α = 90.00°, β = 90.00°, γ = 120.00°
Sites, in units of the cell vectors:
1 Cd 0.000 0.000 0.000
2 Li 0.667 0.333 0.500
3 Ta 0.333 0.667 0.000